No. 1
Here is an optimized crystal structure of Ti2CuHgBi from Alexandria. Energies are from GGA-PBE.

Values from the calculation:
Space group: P4/mmm (123)

Unit cell a=5.0389 b=5.6351 c=5.0389 alpha=90.00 beta=90.00 gamma=90.00
Closest atoms and distances in Å follow each position.
Fractional coordinates of all 5 atoms:
Ti  0.5000  0.0000  0.0000  2 Hg 2.52
Cu  0.5000  0.5000  0.5000  4 Bi 3.56, 8 Ti 3.78
Bi  0.0000  0.5000  0.0000  2 Hg 2.82
Hg  0.0000  0.0000  0.0000  4 Ti 2.52, 2 Bi 2.82
Ti  0.0000  0.0000  0.5000  2 Hg 2.52

No. 2
Here is an optimized crystal structure of Ho4CuBi2 from Alexandria. Energies are from GGA-PBE.

Values from the calculation:
Space group: P2_1/m (11)

Unit cell a=7.0438 b=6.4685 c=9.0376 alpha=90.00 beta=107.78 gamma=90.00
Closest atoms and distances in Å follow each position.
Fractional coordinates of all 14 atoms:
Bi  0.2114  0.2500  0.9274  1 Cu 2.66
Cu  0.1852  0.7500  0.1664  1 Bi 2.66, 4 Ho 2.71-2.76
Bi  0.7886  0.7500  0.0726  1 Cu 2.66
Bi  0.3039  0.2500  0.4566  8 Ho 3.14-3.48
Ho  0.5083  0.0007  0.2211  1 Cu 2.71
Bi  0.6961  0.7500  0.5434  8 Ho 3.14-3.48
Cu  0.8148  0.2500  0.8336  1 Bi 2.66, 4 Ho 2.71-2.76
Ho  0.4917  0.9993  0.7789  1 Cu 2.71
Ho  0.1180  0.7500  0.4463  1 Cu 2.71
Ho  0.9365  0.2500  0.1546  1 Cu 2.76
Ho  0.5083  0.4993  0.2211  1 Cu 2.71
Ho  0.8820  0.2500  0.5537  1 Cu 2.71
Ho  0.4917  0.5007  0.7789  1 Cu 2.71
Ho  0.0635  0.7500  0.8454  1 Cu 2.76

No. 3
Here is an optimized crystal structure of HoCu4Bi from Alexandria. Energies are from GGA-PBE.

Values from the calculation:
Space group: F-43m (216)

Unit cell a=5.2598 b=5.2598 c=5.2598 alpha=60.00 beta=60.00 gamma=60.00
Closest atoms and distances in Å follow each position.
Fractional coordinates of all 6 atoms:
Bi  0.2500  0.2500  0.2500  12 Cu 3.09, 4 Ho 3.22
Cu  0.6258  0.6258  0.1227  6 Cu 2.61-2.65
Ho  0.0000  0.0000  0.0000  12 Cu 3.08, 4 Bi 3.22
Cu  0.1227  0.6258  0.6258  6 Cu 2.61-2.65
Cu  0.6258  0.1227  0.6258  6 Cu 2.61-2.65
Cu  0.6258  0.6258  0.6258  6 Cu 2.61-2.65

No. 4
Here is an optimized crystal structure of Ho12Cu5Bi from Alexandria. Energies are from GGA-PBE.

Values from the calculation:
Space group: Immm (71)

Unit cell a=8.4388 b=8.4388 c=8.4388 alpha=105.08 beta=112.56 gamma=110.87
Closest atoms and distances in Å follow each position.
Fractional coordinates of all 18 atoms:
Ho  0.6918  0.3168  0.0085  3 Cu 2.71-2.94
Cu  0.0000  0.0000  0.0000  8 Ho 2.94-3.13
Ho  0.1927  0.4160  0.2233  2 Cu 2.78-2.94
Cu  0.5000  0.1186  0.6186  1 Cu 2.44, 2 Ho 2.71
Ho  0.6918  0.6832  0.3750  3 Cu 2.71-2.94
Ho  0.8073  0.0305  0.2233  2 Cu 2.78-2.94
Ho  0.0995  0.8205  0.2790  4 Cu 2.95-3.13
Cu  0.6432  0.6432  0.0000  1 Cu 2.74, 6 Ho 2.78-2.94
Ho  0.9005  0.1795  0.7210  4 Cu 2.95-3.13
Cu  0.3568  0.3568  0.0000  1 Cu 2.74, 6 Ho 2.78-2.94
Ho  0.5415  0.8205  0.7210  4 Cu 2.95-3.13
Ho  0.1927  0.9695  0.7767  2 Cu 2.78-2.94
Bi  0.0000  0.5000  0.5000  12 Ho 3.39-3.70
Ho  0.3082  0.6832  0.9915  3 Cu 2.71-2.94
Cu  0.5000  0.8814  0.3814  1 Cu 2.44, 2 Ho 2.71
Ho  0.3082  0.3168  0.6250  3 Cu 2.71-2.94
Ho  0.8073  0.5840  0.7767  2 Cu 2.78-2.94
Ho  0.4585  0.1795  0.2790  4 Cu 2.95-3.13

No. 5
Here is an optimized crystal structure of Ho4CuBi from Alexandria. Energies are from GGA-PBE.

Values from the calculation:
Energy above the most stable polymorph in this dataset in eV/atom: 0.000
Space group: F-43m (216)

Unit cell a=9.7736 b=9.7736 c=9.7736 alpha=60.00 beta=60.00 gamma=60.00
Closest atoms and distances in Å follow each position.
Fractional coordinates of all 24 atoms:
Cu  0.1435  0.1435  0.1435  6 Ho 2.86-2.87
Ho  0.5630  0.5630  0.9370  2 Bi 3.10
Ho  0.9476  0.3508  0.3508  3 Cu 2.87
Ho  0.8148  0.1852  0.8148  2 Cu 2.86
Ho  0.1852  0.8148  0.1852  2 Cu 2.86
Ho  0.3508  0.3508  0.9476  3 Cu 2.87
Ho  0.5630  0.9370  0.5630  2 Bi 3.10
Ho  0.3508  0.3508  0.3508  3 Cu 2.87
Ho  0.9370  0.5630  0.5630  2 Bi 3.10
Ho  0.1852  0.8148  0.8148  2 Cu 2.86
Ho  0.9370  0.9370  0.5630  2 Bi 3.10
Bi  0.5930  0.5930  0.5930  3 Ho 3.10
Ho  0.8148  0.1852  0.1852  2 Cu 2.86
Ho  0.9370  0.5630  0.9370  2 Bi 3.10
Bi  0.5930  0.2209  0.5930  3 Ho 3.10
Bi  0.5930  0.5930  0.2209  3 Ho 3.10
Ho  0.3508  0.9476  0.3508  3 Cu 2.87
Cu  0.1435  0.5695  0.1435  6 Ho 2.86-2.87
Cu  0.1435  0.1435  0.5695  6 Ho 2.86-2.87
Ho  0.8148  0.8148  0.1852  2 Cu 2.86
Ho  0.1852  0.1852  0.8148  2 Cu 2.86
Bi  0.2209  0.5930  0.5930  3 Ho 3.10
Cu  0.5695  0.1435  0.1435  6 Ho 2.86-2.87
Ho  0.5630  0.9370  0.9370  2 Bi 3.10

No. 6
Here is an optimized crystal structure of Ho6CuBi3 from Alexandria. Energies are from GGA-PBE.

Values from the calculation:
Space group: Cmc2_1 (36)

Unit cell a=6.6408 b=9.8281 c=9.8281 alpha=111.07 beta=90.00 gamma=90.00
Closest atoms and distances in Å follow each position.
Fractional coordinates of all 20 atoms:
Bi  0.0080  0.7137  0.9218  7 Ho 3.10-3.33
Bi  0.5080  0.9218  0.7137  7 Ho 3.10-3.33
Ho  0.0808  0.7710  0.6317  4 Bi 3.14-3.32
Cu  0.0895  0.1431  0.8569  5 Ho 2.82-2.93
Ho  0.2289  0.7602  0.2398  1 Cu 2.86
Ho  0.7279  0.5725  0.1032  1 Cu 2.83, 1 Bi 3.10
Bi  0.0080  0.0782  0.2863  7 Ho 3.10-3.33
Ho  0.3028  0.9849  0.0151  2 Cu 2.82-2.93, 2 Bi 3.11
Ho  0.5808  0.2290  0.3683  4 Bi 3.14-3.32
Bi  0.2308  0.4318  0.5682  6 Ho 3.23-3.32
Ho  0.8028  0.0151  0.9849  2 Cu 2.82-2.93, 2 Bi 3.11
Ho  0.7279  0.8968  0.4275  1 Cu 2.83, 1 Bi 3.10
Bi  0.5080  0.2863  0.0782  7 Ho 3.10-3.33
Ho  0.2279  0.1032  0.5725  1 Cu 2.83, 1 Bi 3.10
Ho  0.7289  0.2398  0.7602  1 Cu 2.86
Ho  0.0808  0.3683  0.2290  4 Bi 3.14-3.32
Bi  0.7308  0.5682  0.4318  6 Ho 3.23-3.32
Ho  0.5808  0.6317  0.7710  4 Bi 3.14-3.32
Ho  0.2279  0.4275  0.8968  1 Cu 2.83, 1 Bi 3.10
Cu  0.5895  0.8569  0.1431  5 Ho 2.82-2.93

No. 7
Here is an optimized crystal structure of Ho8CuBi2 from Alexandria. Energies are from GGA-PBE.

Values from the calculation:
Space group: C2/m (12)

Unit cell a=5.1297 b=6.8059 c=9.3197 alpha=87.15 beta=105.97 gamma=90.00
Closest atoms and distances in Å follow each position.
Fractional coordinates of all 11 atoms:
Ho  0.6507  0.0939  0.3014  1 Cu 2.81, 2 Bi 3.13
Cu  0.5000  0.0000  0.0000  6 Ho 2.81-3.10
Ho  0.9725  0.7576  0.9451  2 Cu 3.10, 1 Ho 3.47
Ho  0.0275  0.2424  0.0549  2 Cu 3.10, 1 Ho 3.47
Ho  0.4108  0.4252  0.8216  1 Cu 3.23, 7 Ho 3.40-3.62, 2 Bi 3.44
Ho  0.7874  0.6306  0.5748  3 Bi 3.20-3.57, 5 Ho 3.40-3.47
Ho  0.3493  0.9061  0.6986  1 Cu 2.81, 2 Bi 3.13
Bi  0.8322  0.1689  0.6645  6 Ho 3.13-3.44
Ho  0.5892  0.5748  0.1784  1 Cu 3.23, 7 Ho 3.40-3.62, 2 Bi 3.44
Bi  0.1678  0.8311  0.3355  6 Ho 3.13-3.44
Ho  0.2126  0.3694  0.4252  3 Bi 3.20-3.57, 5 Ho 3.40-3.47

No. 8
Here is an optimized crystal structure of Ho4CuBi from Alexandria. Energies are from GGA-PBE.

Values from the calculation:
Energy above the most stable polymorph in this dataset in eV/atom: 0.138
Space group: Cmc2_1 (36)

Unit cell a=5.4391 b=6.3876 c=10.3110 alpha=90.00 beta=105.29 gamma=90.00
Closest atoms and distances in Å follow each position.
Fractional coordinates of all 12 atoms:
Ho  0.2992  0.5731  0.5984  1 Cu 2.81
Ho  0.1071  0.8220  0.2141  2 Cu 2.76
Bi  0.1469  0.3220  0.2938  10 Ho 3.29-3.43
Ho  0.8929  0.3220  0.7859  2 Cu 2.76
Ho  0.2993  0.0714  0.5987  1 Cu 2.81
Ho  0.5489  0.3217  0.0978  1 Cu 2.66
Cu  0.4152  0.3232  0.8303  5 Ho 2.66-2.81
Ho  0.4511  0.8217  0.9022  1 Cu 2.66
Bi  0.8531  0.8220  0.7062  10 Ho 3.29-3.43
Ho  0.7008  0.0731  0.4016  1 Cu 2.81
Ho  0.7007  0.5714  0.4013  1 Cu 2.81
Cu  0.5848  0.8232  0.1697  5 Ho 2.66-2.81

No. 9
Here is an optimized crystal structure of Ho5Cu2Bi from Alexandria. Energies are from GGA-PBE.

Values from the calculation:
Space group: I4/mcm (140)

Unit cell a=7.9323 b=7.9323 c=8.5729 alpha=117.56 beta=117.56 gamma=90.00
Closest atoms and distances in Å follow each position.
Fractional coordinates of all 16 atoms:
Ho  0.9865  0.4865  0.2790  3 Cu 2.90-3.01
Cu  0.6325  0.1325  0.0000  8 Ho 2.90-3.10, 1 Cu 2.97
Ho  0.7075  0.2075  0.7210  3 Cu 2.90-3.01
Ho  0.5135  0.7075  0.7210  3 Cu 2.90-3.01
Ho  0.0000  0.0000  0.0000  4 Cu 3.10, 2 Bi 3.24
Ho  0.7925  0.9865  0.2790  3 Cu 2.90-3.01
Cu  0.1325  0.3675  0.0000  8 Ho 2.90-3.10, 1 Cu 2.97
Ho  0.4865  0.2925  0.2790  3 Cu 2.90-3.01
Bi  0.7500  0.7500  0.5000  10 Ho 3.24-3.33
Ho  0.0135  0.5135  0.7210  3 Cu 2.90-3.01
Cu  0.3675  0.8675  0.0000  8 Ho 2.90-3.10, 1 Cu 2.97
Bi  0.2500  0.2500  0.5000  10 Ho 3.24-3.33
Ho  0.5000  0.5000  0.0000  4 Cu 3.10, 2 Bi 3.24
Ho  0.2925  0.7925  0.2790  3 Cu 2.90-3.01
Ho  0.2075  0.0135  0.7210  3 Cu 2.90-3.01
Cu  0.8675  0.6325  0.0000  8 Ho 2.90-3.10, 1 Cu 2.97

No. 10
Here is an optimized crystal structure of Ho5CuBi2 from Alexandria. Energies are from GGA-PBE.

Values from the calculation:
Space group: Cmcm (63)

Unit cell a=5.5389 b=8.1045 c=13.4362 alpha=90.00 beta=90.00 gamma=109.98
Closest atoms and distances in Å follow each position.
Fractional coordinates of all 16 atoms:
Ho  0.3042  0.6083  0.4613  1 Cu 3.09, 3 Bi 3.13-3.41, 2 Ho 3.39
Bi  0.8788  0.7576  0.3926  6 Ho 3.06-3.41
Cu  0.2244  0.4488  0.2500  6 Ho 2.77-3.09
Bi  0.8788  0.7576  0.1074  6 Ho 3.06-3.41
Ho  0.0849  0.1699  0.1165  1 Cu 2.78, 1 Bi 3.06
Ho  0.3042  0.6083  0.0387  1 Cu 3.09, 3 Bi 3.13-3.41, 2 Ho 3.39
Cu  0.7756  0.5512  0.7500  6 Ho 2.77-3.09
Ho  0.9151  0.8301  0.6165  1 Cu 2.78, 1 Bi 3.06
Ho  0.0849  0.1699  0.3835  1 Cu 2.78, 1 Bi 3.06
Bi  0.1212  0.2424  0.6074  6 Ho 3.06-3.41
Ho  0.7132  0.4265  0.2500  2 Cu 2.77
Ho  0.6958  0.3917  0.5387  1 Cu 3.09, 3 Bi 3.13-3.41, 2 Ho 3.39
Ho  0.2868  0.5735  0.7500  2 Cu 2.77
Bi  0.1212  0.2424  0.8926  6 Ho 3.06-3.41
Ho  0.6958  0.3917  0.9613  1 Cu 3.09, 3 Bi 3.13-3.41, 2 Ho 3.39
Ho  0.9151  0.8301  0.8835  1 Cu 2.78, 1 Bi 3.06

| no. | total magnetic moment (μB per atom) | electronic total energy (eV per atom) | energy relative to the elements (meV per atom) |
| --- | --- | --- | --- |
| 1 | 0.000 | -3.48 | 1331 |
| 2 | 0.001 | -4.70 | -387 |
| 3 | 0.000 | -4.26 | -120 |
| 4 | 0.000 | -4.64 | -233 |
| 5 | 0.000 | -4.71 | -329 |
| 6 | 0.000 | -4.67 | -348 |
| 7 | 0.000 | -4.68 | -277 |
| 8 | 0.000 | -4.57 | -191 |
| 9 | 0.000 | -4.73 | -355 |
| 10 | 0.000 | -4.40 | -58 |